{"formula": "Cr2InCu", "functional": "PBE-GGA", "state": "optimized geometry", "energy_ev_per_atom": -6.074, "delta_e_f_ev_per_atom": 0.45, "lattice": [[1.4433, 0.8333, 8.3415], [-1.4433, 0.8333, 8.3415], [0.0000, -1.6666, 8.3415]], "species": ["Cr", "Cr", "In", "Cu"], "fractional_positions": [[0.0000, 0.0000, 0.0000], [0.2726, 0.2726, 0.2726], [0.5097, 0.5097, 0.5097], [0.7493, 0.7493, 0.7493]]}


{"formula": "YAlNi3", "functional": "PBE-GGA", "state": "optimized geometry", "energy_ev_per_atom": -5.528, "e_above_lowest_polymorph_ev_per_fu": 1.86, "delta_e_f_ev_per_atom": -0.02, "lattice": [[4.3784, 0.0000, 0.0000], [0.0000, 4.3784, 0.0000], [0.0000, 0.0000, 4.3784]], "species": ["Y", "Al", "Ni", "Ni", "Ni"], "fractional_positions": [[0.0000, 0.0000, 0.0000], [0.5000, 0.5000, 0.5000], [0.0000, 0.5000, 0.5000], [0.5000, 0.0000, 0.5000], [0.5000, 0.5000, 0.0000]]}


{"formula": "Pm2PtN", "functional": "PBE-GGA", "state": "optimized geometry", "energy_ev_per_atom": -6.709, "e_above_lowest_polymorph_ev_per_fu": 1.35, "formation_energy_uncorrected_ev_per_atom": -0.74, "lattice": [[3.2929, 0.0000, 0.0000], [0.0000, 3.2929, 0.0000], [0.0000, 0.0000, 6.8999]], "species": ["Pm", "Pm", "Pt", "N"], "fractional_positions": [[0.0000, 0.0000, 0.2158], [0.0000, 0.0000, 0.7842], [0.5000, 0.5000, 0.5000], [0.5000, 0.5000, 0.0000]]}


{"formula": "PmHoCu10", "functional": "PBE-GGA", "state": "optimized geometry", "energy_ev_per_atom": -4.373, "delta_e_f_ev_per_atom": -0.18, "lattice": [[4.1073, 0.0000, 0.0000], [0.0000, 5.0505, 0.0000], [0.0000, 0.0000, 8.6999]], "species": ["Pm", "Ho", "Cu", "Cu", "Cu", "Cu", "Cu", "Cu", "Cu", "Cu", "Cu", "Cu"], "fractional_positions": [[0.0000, 0.0000, 0.0000], [0.0000, 0.5000, 0.5000], [0.0000, 0.0000, 0.3371], [0.0000, 0.0000, 0.6629], [0.0000, 0.5000, 0.1710], [0.0000, 0.5000, 0.8290], [0.5000, 0.0000, 0.5000], [0.5000, 0.2519, 0.2538], [0.5000, 0.2519, 0.7462], [0.5000, 0.5000, 0.0000], [0.5000, 0.7481, 0.2538], [0.5000, 0.7481, 0.7462]]}


{"formula": "TlCo2Re", "functional": "PBE-GGA", "state": "optimized geometry", "energy_ev_per_atom": -6.672, "e_above_lowest_polymorph_ev_per_fu": 0.80, "delta_e_f_ev_per_atom": 0.58, "lattice": [[4.1145, 0.0000, 0.0000], [0.0000, 1.3911, 5.0089], [0.0000, -1.3911, 5.0089]], "species": ["Tl", "Co", "Co", "Re"], "fractional_positions": [[0.0000, 0.0000, 0.0000], [0.0000, 0.7405, 0.7405], [0.5000, 0.6033, 0.6033], [0.5000, 0.3201, 0.3201]]}


{"formula": "Sr2SnHgIr", "functional": "PBE-GGA", "state": "optimized geometry", "energy_ev_per_atom": -3.682, "delta_e_f_ev_per_atom": -0.38, "lattice": [[5.8721, 0.0000, 0.0000], [0.0000, 5.8721, 0.0000], [0.0000, 0.0000, 5.0548]], "species": ["Sr", "Sr", "Sn", "Hg", "Ir"], "fractional_positions": [[0.0000, 0.5000, 0.0000], [0.5000, 0.0000, 0.0000], [0.0000, 0.0000, 0.5000], [0.5000, 0.5000, 0.5000], [0.0000, 0.0000, 0.0000]]}


{"formula": "Pr12Co6Pt", "functional": "PBE-GGA", "state": "optimized geometry", "energy_ev_per_atom": -5.710, "delta_e_f_ev_per_atom": -0.13, "lattice": [[-4.9806, 4.9806, 4.9806], [4.9806, -4.9806, 4.9806], [4.9806, 4.9806, -4.9806]], "species": ["Pr", "Pr", "Pr", "Pr", "Pr", "Pr", "Pr", "Pr", "Pr", "Pr", "Pr", "Pr", "Co", "Co", "Co", "Co", "Co", "Co", "Pt"], "fractional_positions": [[0.1106, 0.3014, 0.8093], [0.1907, 0.4921, 0.3014], [0.1907, 0.8894, 0.6986], [0.3014, 0.1907, 0.4921], [0.3014, 0.8093, 0.1106], [0.4921, 0.3014, 0.1907], [0.5079, 0.6986, 0.8093], [0.6986, 0.1907, 0.8894], [0.6986, 0.8093, 0.5079], [0.8093, 0.1106, 0.3014], [0.8093, 0.5079, 0.6986], [0.8894, 0.6986, 0.1907], [0.1128, 0.5000, 0.6128], [0.3872, 0.8872, 0.5000], [0.5000, 0.3872, 0.8872], [0.5000, 0.6128, 0.1128], [0.6128, 0.1128, 0.5000], [0.8872, 0.5000, 0.3872], [0.0000, 0.0000, 0.0000]]}


{"formula": "ThCd3Hg3", "functional": "PBE-GGA", "state": "optimized geometry", "energy_ev_per_atom": -1.609, "e_above_lowest_polymorph_ev_per_fu": 0.00, "delta_e_f_ev_per_atom": -0.03, "lattice": [[8.8506, 0.0000, 0.0000], [-4.4253, 7.6648, 0.0000], [0.0000, 0.0000, 5.5040]], "species": ["Th", "Th", "Cd", "Cd", "Cd", "Cd", "Cd", "Cd", "Hg", "Hg", "Hg", "Hg", "Hg", "Hg"], "fractional_positions": [[0.3333, 0.6667, 0.2500], [0.6667, 0.3333, 0.7500], [0.0932, 0.5506, 0.7500], [0.4494, 0.5426, 0.7500], [0.4574, 0.9068, 0.7500], [0.5426, 0.0932, 0.2500], [0.5506, 0.4574, 0.2500], [0.9068, 0.4494, 0.2500], [0.1163, 0.8727, 0.2500], [0.1273, 0.2436, 0.2500], [0.2436, 0.1163, 0.7500], [0.7564, 0.8837, 0.2500], [0.8727, 0.7564, 0.7500], [0.8837, 0.1273, 0.7500]]}


{"formula": "LiMg3Au12", "functional": "PBE-GGA", "state": "optimized geometry", "energy_ev_per_atom": -3.257, "delta_e_f_ev_per_atom": -0.38, "lattice": [[4.1659, 0.0000, 0.0000], [0.0000, 4.1659, 0.0000], [0.0000, 0.0000, 16.2288]], "species": ["Li", "Mg", "Mg", "Mg", "Au", "Au", "Au", "Au", "Au", "Au", "Au", "Au", "Au", "Au", "Au", "Au"], "fractional_positions": [[0.0000, 0.0000, 0.0000], [0.0000, 0.0000, 0.2467], [0.0000, 0.0000, 0.5000], [0.0000, 0.0000, 0.7533], [0.0000, 0.5000, 0.1218], [0.0000, 0.5000, 0.3736], [0.0000, 0.5000, 0.6264], [0.0000, 0.5000, 0.8782], [0.5000, 0.0000, 0.1218], [0.5000, 0.0000, 0.3736], [0.5000, 0.0000, 0.6264], [0.5000, 0.0000, 0.8782], [0.5000, 0.5000, 0.0000], [0.5000, 0.5000, 0.2475], [0.5000, 0.5000, 0.5000], [0.5000, 0.5000, 0.7525]]}


{"formula": "Sr2AlCuAg6", "functional": "PBE-GGA", "state": "optimized geometry", "energy_ev_per_atom": -2.942, "delta_e_f_ev_per_atom": -0.11, "lattice": [[6.9179, 0.0000, 0.0000], [3.3570, 6.0739, 0.0000], [3.4383, 2.0060, 5.7592]], "species": ["Sr", "Sr", "Al", "Cu", "Ag", "Ag", "Ag", "Ag", "Ag", "Ag"], "fractional_positions": [[0.2089, 0.2090, 0.2035], [0.7911, 0.7910, 0.7965], [0.5000, 0.5000, 0.5000], [0.0000, 0.0000, 0.0000], [0.2467, 0.2460, 0.6560], [0.2497, 0.6628, 0.2439], [0.3377, 0.7497, 0.7568], [0.6623, 0.2503, 0.2432], [0.7503, 0.3372, 0.7561], [0.7533, 0.7540, 0.3440]]}